## ReTe2AsN (SCAN)

Data for a PBEsol-optimized structure of ReTe2AsN.

a b c (Å): 3.475 5.323 5.323
angles (deg): 90.00 90.00 90.00
Site moments in Bohr magnetons follow the coordinates.
Fractional coordinates of all 5 atoms:
Re  0.500  0.500  0.500  1.79
As  0.000  0.000  0.000  -0.02
Te  0.000  0.000  0.500  -0.12
Te  0.000  0.500  0.000  -0.12
N  0.500  0.000  0.000  -0.05

## Properties
- volume (A^3/atom) = 19.69
- D(E_F) (states/eV/f.u.) = 2.98
- raw formation energy (eV per atom) = 1.521
- electronic total energy (eV per atom) = -33.495
- symmetry = P4/mmm (123)
- density (g/cm³) = 8.95



## AsRhN3 (SCAN)

Data for a PBEsol-optimized structure of AsRhN3.

a b c (Å): 3.831 3.831 3.831
angles (deg): 90.00 90.00 90.00
Fractional coordinates of all 5 atoms:
As  0.500  0.500  0.500
Rh  0.000  0.000  0.000
N  0.000  0.500  0.000
N  0.000  0.000  0.500
N  0.500  0.000  0.000

## Properties
- volume (A^3/atom) = 11.25
- D(E_F) (states/eV/f.u.) = 4.98
- raw formation energy (eV per atom) = 1.677
- electronic total energy (eV per atom) = -14.690
- symmetry = Pm-3m (221)
- density (g/cm³) = 6.49